# 1
An optimized crystal structure of CrTc2PtN. Source: Alexandria, functional GGA-PBE.

The space group is P4/mmm (No. 123) and the conventional cell measures 4.0248, 4.0248 and 3.8919 Å, with angles of 90.00, 90.00 and 90.00 degrees. The distinct sites, in fractional coordinates, are Cr at (0.0000, 0.0000, 0.0000), Tc at (0.0000, 0.5000, 0.5000), Pt at (0.5000, 0.5000, 0.0000) and N at (0.0000, 0.0000, 0.5000).

The value obtained for the formation energy without anion corrections is -153 meV per atom.

***

# 2
An optimized crystal structure of CrTe2PtN. Source: Alexandria, functional GGA-PBE.

The space group is P4/mmm (No. 123) and the conventional cell measures 5.5990, 5.5990 and 3.6690 Å, with angles of 90.00, 90.00 and 90.00 degrees. The distinct sites, in fractional coordinates, are Cr at (0.0000, 0.0000, 0.0000), Te at (0.0000, 0.5000, 0.5000), Pt at (0.5000, 0.5000, 0.5000) and N at (0.5000, 0.5000, 0.0000).

For the energy relative to the lowest polymorph listed for this composition, the calculation gives 318 meV per atom. The value obtained for the formation energy without anion corrections is 597 meV per atom.

***

# 3
An optimized crystal structure of CrTe2PtN. Source: Alexandria, functional GGA-PBE.

The space group is P4/mmm (No. 123) and the conventional cell measures 5.2320, 5.2320 and 3.4812 Å, with angles of 90.00, 90.00 and 90.00 degrees. The distinct sites, in fractional coordinates, are Cr at (0.0000, 0.0000, 0.0000), Te at (0.0000, 0.5000, 0.0000), Pt at (0.5000, 0.5000, 0.5000) and N at (0.0000, 0.0000, 0.5000).

For the energy relative to the lowest polymorph listed for this composition, the calculation gives 0 meV per atom. The value obtained for the formation energy without anion corrections is 279 meV per atom.

***

Number 1: DFT total energy -9.0976 eV per atom. Number 2: DFT total energy -5.4578 eV per atom. Number 3: DFT total energy -5.7755 eV per atom.